## 1
Pm5SmTm2 (GGA-PBE, optimized geometry); D(E_F) = 13.14 states/eV/f.u.; total moment = 0.0 μB per formula unit
1.0
8.3808 -4.9860 0.0000
8.3808 4.9860 0.0000
-1.0736 0.0000 6.4638
Pm Sm Tm
10 2 4
Direct
0.0541 0.9459 0.7500 Pm
0.1128 0.2882 0.0172 Pm
0.2882 0.1128 0.5172 Pm
0.3072 0.5014 0.8619 Pm
0.4986 0.6928 0.6381 Pm
0.5014 0.3072 0.3619 Pm
0.6928 0.4986 0.1381 Pm
0.7118 0.8872 0.4828 Pm
0.8872 0.7118 0.9828 Pm
0.9459 0.0541 0.2500 Pm
0.0000 0.5000 0.5000 Sm
0.5000 0.0000 0.0000 Sm
0.1777 0.6667 0.3716 Tm
0.3333 0.8223 0.1284 Tm
0.6667 0.1777 0.8716 Tm
0.8223 0.3333 0.6284 Tm

## 2
Pm5SmTm2 (GGA-PBE, optimized geometry); D(E_F) = 11.35 states/eV/f.u.; total moment = 0.0 μB per formula unit
1.0
7.2093 0.0000 0.0000
0.0000 14.4184 0.0000
0.0000 0.0000 5.0933
Pm Sm Tm
10 2 4
Direct
0.0000 0.0000 0.0000 Pm
0.9998 0.2502 0.0000 Pm
0.0002 0.7498 0.0000 Pm
0.2500 0.1248 0.5000 Pm
0.2500 0.6248 0.5000 Pm
0.4998 0.2498 0.0000 Pm
0.5000 0.5000 0.0000 Pm
0.5002 0.7502 0.0000 Pm
0.7500 0.3752 0.5000 Pm
0.7500 0.8752 0.5000 Pm
0.0000 0.5000 0.0000 Sm
0.5000 0.0000 0.0000 Sm
0.2497 0.3751 0.5000 Tm
0.2503 0.8751 0.5000 Tm
0.7497 0.1249 0.5000 Tm
0.7503 0.6249 0.5000 Tm

Need the numbers? Relative energies in kJ/mol of atoms: 1 13.4; 2 0.0.

## 1
PmSm2Tm2 (GGA-PBE, optimized geometry); D(E_F) = 6.78 states/eV/f.u.; total moment = 0.0 μB per formula unit
1.0
5.6405 -2.5258 0.0000
5.6405 2.5258 0.0000
-0.0236 0.0000 11.3372
Pm Sm Tm
2 4 4
Direct
0.2504 0.2504 0.2483 Pm
0.7496 0.7496 0.7517 Pm
0.3510 0.3510 0.5503 Sm
0.4502 0.4502 0.8513 Sm
0.5498 0.5498 0.1487 Sm
0.6490 0.6490 0.4497 Sm
0.0504 0.0504 0.6503 Tm
0.1500 0.1500 0.9497 Tm
0.8500 0.8500 0.0503 Tm
0.9496 0.9496 0.3497 Tm

## 2
PmSm2Tm2 (GGA-PBE, optimized geometry); D(E_F) = 6.06 states/eV/f.u.; total moment = 0.0 μB per formula unit
1.0
3.5929 0.0000 0.0000
-1.7964 3.1115 0.0000
0.0000 0.0000 43.3410
Pm Sm Tm
3 6 6
Direct
0.0000 0.0000 0.0000 Pm
0.3333 0.6667 0.6667 Pm
0.6667 0.3333 0.3333 Pm
0.0000 0.0000 0.1319 Sm
0.0000 0.0000 0.8681 Sm
0.3333 0.6667 0.5348 Sm
0.3333 0.6667 0.7985 Sm
0.6667 0.3333 0.2015 Sm
0.6667 0.3333 0.4652 Sm
0.0000 0.0000 0.3994 Tm
0.0000 0.0000 0.6006 Tm
0.3333 0.6667 0.0661 Tm
0.3333 0.6667 0.2672 Tm
0.6667 0.3333 0.7328 Tm
0.6667 0.3333 0.9339 Tm

Need the numbers? Relative energies in kJ/mol of atoms: 1 1.4; 2 0.0.

## 1
Pm6SmTm2 (GGA-PBE, optimized geometry); D(E_F) = 13.07 states/eV/f.u.; total moment = 0.0 μB per formula unit
1.0
3.6149 0.0000 0.0000
1.7825 9.3724 0.0000
1.7691 3.1421 8.8466
Pm Sm Tm
6 1 2
Direct
0.0581 0.2189 0.1667 Pm
0.1676 0.6691 0.4968 Pm
0.3870 0.5589 0.1662 Pm
0.6130 0.4411 0.8338 Pm
0.8324 0.3309 0.5032 Pm
0.9419 0.7811 0.8333 Pm
0.5000 0.0000 0.5000 Sm
0.2768 0.1086 0.8372 Tm
0.7232 0.8914 0.1628 Tm

## 2
Pm6SmTm2 (GGA-PBE, optimized geometry); D(E_F) = 13.66 states/eV/f.u.; total moment = 0.9 μB per formula unit
1.0
7.5760 0.0000 0.0000
-3.7880 6.5610 0.0000
0.0000 0.0000 6.1177
Pm Sm Tm
6 1 2
Direct
0.1889 0.3777 0.2875 Pm
0.1889 0.8111 0.2875 Pm
0.3777 0.1889 0.7125 Pm
0.6223 0.8111 0.2875 Pm
0.8111 0.1889 0.7125 Pm
0.8111 0.6223 0.7125 Pm
0.0000 0.0000 0.0000 Sm
0.3333 0.6667 0.7810 Tm
0.6667 0.3333 0.2190 Tm

Need the numbers? Relative energies in kJ/mol of atoms: 1 0.0; 2 19.5.

## 1
PmSmTm4 (GGA-PBE, optimized geometry); D(E_F) = 7.99 states/eV/f.u.; total moment = 0.0 μB per formula unit
1.0
3.5432 0.0000 0.0000
0.0000 4.9870 0.0000
-0.0927 0.0000 10.6078
Pm Sm Tm
1 1 4
Direct
0.0000 0.0000 0.0000 Pm
0.5000 0.5000 0.5000 Sm
0.0001 0.0000 0.3325 Tm
0.9999 0.0000 0.6675 Tm
0.5003 0.5000 0.1683 Tm
0.4997 0.5000 0.8317 Tm

## 2
PmSmTm4 (GGA-PBE, optimized geometry); D(E_F) = 15.69 states/eV/f.u.; total moment = 5.1 μB per formula unit
1.0
0.0000 4.6716 4.6716
4.6716 0.0000 4.6716
4.6716 4.6716 0.0000
Pm Sm Tm
1 1 4
Direct
0.0000 0.0000 0.0000 Pm
0.2500 0.2500 0.2500 Sm
0.1252 0.6249 0.6249 Tm
0.6249 0.1252 0.6249 Tm
0.6249 0.6249 0.1252 Tm
0.6249 0.6249 0.6249 Tm

Need the numbers? Relative energies in kJ/mol of atoms: 1 0.0; 2 25.8.

## 1
Pm3SmTm2 (GGA-PBE, optimized geometry); D(E_F) = 7.46 states/eV/f.u.; total moment = 0.0 μB per formula unit
1.0
6.2610 0.0000 0.0000
-0.0050 7.2510 0.0000
-1.0587 -1.8180 8.6807
Pm Sm Tm
6 2 4
Direct
0.1394 0.4585 0.3355 Pm
0.1399 0.9585 0.3356 Pm
0.2522 0.1242 0.9955 Pm
0.7478 0.8758 0.0045 Pm
0.8601 0.0415 0.6644 Pm
0.8606 0.5415 0.6645 Pm
0.2521 0.6241 0.9959 Sm
0.7479 0.3759 0.0041 Sm
0.3641 0.2919 0.6651 Tm
0.3640 0.7914 0.6649 Tm
0.6360 0.2086 0.3351 Tm
0.6359 0.7081 0.3349 Tm

## 2
Pm3SmTm2 (GGA-PBE, optimized geometry); D(E_F) = 8.37 states/eV/f.u.; total moment = 0.0 μB per formula unit
1.0
8.8056 -3.5913 0.0000
8.8056 3.5913 0.0000
-0.0219 0.0000 6.2131
Pm Sm Tm
6 2 4
Direct
0.1243 0.8757 0.7500 Pm
0.2066 0.4578 0.5843 Pm
0.4578 0.2066 0.0843 Pm
0.5422 0.7934 0.9157 Pm
0.7934 0.5422 0.4157 Pm
0.8757 0.1243 0.2500 Pm
0.3739 0.6261 0.2500 Sm
0.6261 0.3739 0.7500 Sm
0.0432 0.2915 0.9170 Tm
0.2915 0.0432 0.4170 Tm
0.7085 0.9568 0.5830 Tm
0.9568 0.7085 0.0830 Tm

Need the numbers? Relative energies in kJ/mol of atoms: 1 0.0; 2 1.8.

## 1
Pm5SmTm4 (GGA-PBE, optimized geometry); D(E_F) = 15.62 states/eV/f.u.; total moment = 0.0 μB per formula unit
1.0
9.0561 -1.7847 0.0000
9.0561 1.7847 0.0000
-1.1683 0.0000 10.3970
Pm Sm Tm
5 1 4
Direct
0.0000 0.0000 0.0000 Pm
0.3112 0.3112 0.9039 Pm
0.3577 0.3577 0.2698 Pm
0.6423 0.6423 0.7302 Pm
0.6888 0.6888 0.0961 Pm
0.0000 0.0000 0.5000 Sm
0.1829 0.1829 0.4126 Tm
0.4538 0.4538 0.7380 Tm
0.5462 0.5462 0.2620 Tm
0.8171 0.8171 0.5874 Tm

## 2
Pm5SmTm4 (GGA-PBE, optimized geometry); D(E_F) = 15.16 states/eV/f.u.; total moment = 0.0 μB per formula unit
1.0
8.4085 -2.7434 0.0000
8.4085 2.7434 0.0000
-0.0075 0.0000 7.0665
Pm Sm Tm
5 1 4
Direct
0.0000 0.0000 0.0000 Pm
0.1919 0.1919 0.2526 Pm
0.3920 0.3920 0.7457 Pm
0.5917 0.5917 0.7453 Pm
0.7835 0.7835 0.9984 Pm
0.3917 0.3917 0.2520 Sm
0.0013 0.0013 0.4969 Tm
0.1927 0.1927 0.7469 Tm
0.5908 0.5908 0.2510 Tm
0.7822 0.7822 0.5005 Tm

Need the numbers? Relative energies in kJ/mol of atoms: 1 10.3; 2 0.0.